First-principles (PBE-GGA) data for a geometry-optimized KZrZn3 structure, as listed in Alexandria.

abc: 5.4216 5.4216 5.4216
angles: 90.00 90.00 90.00
Last column: nearest neighbours and their distance in Å.
Positions (direct):
K 0.0000 0.0000 0.0000  12 Zn 3.83
Zr 0.5000 0.5000 0.5000  6 Zn 2.71
Zn 0.0000 0.5000 0.5000  2 Zr 2.71
Zn 0.5000 0.0000 0.5000  2 Zr 2.71
Zn 0.5000 0.5000 0.0000  2 Zr 2.71

## Properties
- N(E_F): 6.2 states/eV per cell
- Energy above the lowest structure with this stoichiometry: 0 meV per atom
- Formation enthalpy at 0 K: 534 meV per atom
- Calculated volume: 31.873 A^3/atom
- Space group: Pm-3m, No. 221
- Calculated total energy: -2.16 eV/atom

=====

First-principles (PBE-GGA) data for a geometry-optimized GaCuNi3 structure, as listed in Alexandria.

abc: 5.7653 5.7653 5.7653
angles: 130.81 110.94 89.37
Last column: nearest neighbours and their distance in Å.
Positions (direct):
Ga 0.2683 0.0183 0.2500  5 Ni 2.37-2.54
Ga 0.7317 0.9817 0.7500  5 Ni 2.37-2.54
Cu 0.0000 0.5000 0.5000  6 Ni 2.42-2.49
Cu 0.5000 0.5000 0.0000  6 Ni 2.42-2.49
Ni 0.0206 0.2706 0.7500  1 Ga 2.37, 6 Ni 2.41-2.42, 2 Cu 2.49
Ni 0.3195 0.0000 0.8195  5 Ni 2.36-2.41, 2 Cu 2.42, 2 Ga 2.54
Ni 0.3195 0.5000 0.3195  5 Ni 2.36-2.41, 2 Cu 2.42, 2 Ga 2.54
Ni 0.6805 0.0000 0.1805  5 Ni 2.36-2.41, 2 Cu 2.42, 2 Ga 2.54
Ni 0.6805 0.5000 0.6805  5 Ni 2.36-2.41, 2 Cu 2.42, 2 Ga 2.54
Ni 0.9794 0.7294 0.2500  1 Ga 2.37, 6 Ni 2.41-2.42, 2 Cu 2.49

## Properties
- N(E_F): 8.5 states/eV per cell
- Energy above the lowest structure with this stoichiometry: 0 meV per atom
- Formation enthalpy at 0 K: 63 meV per atom
- Calculated volume: 12.857 A^3/atom
- Space group: Imma, No. 74
- Calculated total energy: -4.83 eV/atom

=====

First-principles (PBE-GGA) data for a geometry-optimized ZrPb2 structure, as listed in Alexandria.

abc: 6.0848 6.0848 6.0848
angles: 105.05 105.05 118.74
Last column: nearest neighbours and their distance in Å.
Positions (direct):
Zr 0.2500 0.2500 0.0000  2 Zr 3.10, 8 Pb 3.11
Zr 0.7500 0.7500 0.0000  2 Zr 3.10, 8 Pb 3.11
Pb 0.1891 0.6891 0.8781  4 Zr 3.11, 2 Pb 3.35
Pb 0.3109 0.1891 0.5000  4 Zr 3.11, 2 Pb 3.35
Pb 0.6891 0.8109 0.5000  4 Zr 3.11, 2 Pb 3.35
Pb 0.8109 0.3109 0.1219  4 Zr 3.11, 2 Pb 3.35

## Properties
- N(E_F): 3.3 states/eV per cell
- Formation enthalpy at 0 K: -68 meV per atom
- Calculated volume: 28.330 A^3/atom
- Space group: I4/mcm, No. 140
- Calculated total energy: -5.39 eV/atom